[1]
VASP calculation (PBE) on AcLaO2 after structural relaxation.

Geometry as POSCAR:
```
AcLaO2
1.0
3.936 0.000 0.000
-1.968 3.409 0.000
0.000 0.000 20.871
Ac La O
3 3 6
direct
0.000 0.000 0.000
0.333 0.667 0.667
0.667 0.333 0.333
0.000 0.000 0.500
0.333 0.667 0.167
0.667 0.333 0.833
0.000 0.000 0.115
0.000 0.000 0.885
0.333 0.667 0.551
0.333 0.667 0.782
0.667 0.333 0.218
0.667 0.333 0.449
```

The value obtained for the uncorrected formation energy is -2.769 eV/atom.

[2]
VASP calculation (PBE) on K2Cu2TcO6 after structural relaxation.

Geometry as POSCAR:
```
K2Cu2TcO6
1.0
2.925 1.689 5.462
-2.925 1.689 5.462
0.000 -3.377 5.462
K Cu Tc O
2 2 1 6
direct
0.215 0.215 0.215
0.785 0.785 0.785
0.408 0.408 0.408
0.592 0.592 0.592
0.000 0.000 0.000
0.222 0.222 0.767
0.222 0.767 0.222
0.233 0.778 0.778
0.767 0.222 0.222
0.778 0.233 0.778
0.778 0.778 0.233
```

The value obtained for the uncorrected formation energy is -1.161 eV/atom.

[3]
VASP calculation (PBE) on HfScS2 after structural relaxation.

Geometry as POSCAR:
```
HfScS2
1.0
3.545 0.000 0.000
-1.772 3.070 0.000
0.000 0.000 24.494
Hf Sc S
3 3 6
direct
0.000 0.000 0.000
0.333 0.667 0.667
0.667 0.333 0.333
0.000 0.000 0.500
0.333 0.667 0.167
0.667 0.333 0.833
0.000 0.000 0.396
0.000 0.000 0.604
0.333 0.667 0.063
0.333 0.667 0.271
0.667 0.333 0.729
0.667 0.333 0.937
```

The value obtained for the uncorrected formation energy is -1.189 eV/atom.

[4]
VASP calculation (PBE) on BaTaCd2 after structural relaxation.

Geometry as POSCAR:
```
BaTaCd2
1.0
4.820 0.000 0.000
0.000 4.820 0.000
0.000 0.000 4.511
Ba Ta Cd
1 1 2
direct
0.000 0.000 0.000
0.500 0.500 0.000
0.000 0.500 0.500
0.500 0.000 0.500
```

The formation energy from the elements is 0.7142 eV/atom.

Respective electronic total energy values: -7.51, -5.75, -7.32, -3.19 eV per atom.